(1)
First-principles (PBE-GGA) data for a geometry-optimized LiZr2ScH structure, as listed in Alexandria.

a = 4.431 Å, b = 4.431 Å, c = 4.401 Å
α = 90.00°, β = 90.00°, γ = 90.00°
Fractional positions:
1 Sc 0.500 0.500 0.500
2 H 0.000 0.000 0.000
3 Zr 0.000 0.500 0.000
4 Zr 0.500 0.000 0.000
5 Li 0.000 0.000 0.500

Summary:
SG = P4/mmm, No. 123
relative energy among the computed polymorphs = 0 meV per atom
mass density = 4.523 g/cm3
crystal system = tetragonal


(2)
First-principles (PBE-GGA) data for a geometry-optimized BiPtI2 structure, as listed in Alexandria.

a = 11.225 Å, b = 11.225 Å, c = 8.370 Å
α = 47.89°, β = 47.89°, γ = 90.00°
Fractional positions:
1 I 0.375 0.125 0.250
2 I 0.375 0.625 0.250
3 I 0.375 0.625 0.750
4 I 0.875 0.625 0.750
5 Bi 0.000 0.000 0.000
6 Bi 0.750 0.250 0.500
7 Pt 0.500 0.500 0.000
8 Pt 0.250 0.750 0.500

Summary:
SG = I4_1/amd, No. 141
relative energy among the computed polymorphs = 0 meV per atom
uncorrected formation energy = 0.107 eV per atom
mass density = 6.524 g/cm3
crystal system = tetragonal


(3)
First-principles (PBE-GGA) data for a geometry-optimized CaIn4Bi structure, as listed in Alexandria.

a = 6.254 Å, b = 6.254 Å, c = 6.254 Å
α = 60.00°, β = 60.00°, γ = 60.00°
Fractional positions:
1 Ca 0.250 0.250 0.250
2 Bi 0.000 0.000 0.000
3 In 0.625 0.625 0.125
4 In 0.625 0.125 0.625
5 In 0.625 0.625 0.625
6 In 0.125 0.625 0.625

Summary:
SG = F-43m, No. 216
ΔE_f = -0.12 eV/atom
mass density = 6.800 g/cm3
crystal system = cubic